Entry 1:
The following is a DFT calculation (PBE-GGA) of a geometry-optimized Zn2NiHRu structure.

Cell: 4.0093 4.0093 3.4845 Å, 90.00 90.00 90.00°
With the nearest neighbours (Å) after each atom.
Space group P4/mmm (No. 123)
Asymmetric unit:
Zn  0.0000  0.5000  0.0000  2 H 2.00
Ni  0.0000  0.0000  0.5000  8 Zn 2.66, 4 Ru 2.83
H  0.5000  0.5000  0.0000  2 Ru 1.74
Ru  0.5000  0.5000  0.5000  2 H 1.74

Entry 2:
The following is a DFT calculation (PBE-GGA) of a geometry-optimized Mn2W structure.

Cell: 5.9982 5.9982 4.1164 Å, 90.00 90.00 120.00°
With the nearest neighbours (Å) after each atom.
Space group P-62m (No. 189)
Asymmetric unit:
Mn  0.0000  0.2390  0.0000  4 W 2.33-2.51, 2 Mn 2.48
Mn  0.0000  0.5565  0.5000  5 W 2.66-2.71, 2 Mn 2.80
W  0.0000  0.0000  0.5000  9 Mn 2.51-2.66
W  0.3333  0.6667  0.0000  3 Mn 2.33

Computed properties:
The calculation puts the energy relative to the lowest polymorph listed for this composition at 681 meV/atom. Its energy of formation is 599.0 meV/atom.

Entry 3:
The following is a DFT calculation (PBE-GGA) of a geometry-optimized BeVPdRu structure.

Cell: 2.9309 2.9309 5.9077 Å, 90.00 90.00 90.00°
With the nearest neighbours (Å) after each atom.
Space group P4mm (No. 99)
Asymmetric unit:
Be  0.0000  0.0000  0.0000  4 Ru 2.48, 4 Pd 2.49, 1 V 2.76
V  0.0000  0.0000  0.5334  4 Ru 2.50, 4 Pd 2.73, 1 Be 2.76
Pd  0.5000  0.5000  0.2336  4 Be 2.49, 4 V 2.73, 1 Ru 2.73
Ru  0.5000  0.5000  0.7709  4 Be 2.48, 4 V 2.50, 1 Pd 2.73

Computed properties:
Its energy of formation is -351.4 meV/atom.

Entry 4:
The following is a DFT calculation (PBE-GGA) of a geometry-optimized BaMnRu2W structure.

Cell: 4.6808 4.6808 4.6094 Å, 90.00 90.00 90.00°
With the nearest neighbours (Å) after each atom.
Space group P4/mmm (No. 123)
Asymmetric unit:
Ba  0.0000  0.0000  0.0000  8 Ru 3.28, 4 W 3.31
Mn  0.5000  0.5000  0.5000  2 W 2.30, 4 Ru 2.34
Ru  0.0000  0.5000  0.5000  2 Mn 2.34
W  0.5000  0.5000  0.0000  2 Mn 2.30

Computed properties:
Its energy of formation is 1116.5 meV/atom.

Entry 5:
The following is a DFT calculation (PBE-GGA) of a geometry-optimized Nb3V2Ga4 structure.

Cell: 9.8050 4.3490 8.1103 Å, 90.00 123.77 90.00°
With the nearest neighbours (Å) after each atom.
Space group C2/m (No. 12)
Asymmetric unit:
Nb  0.0000  0.0000  0.0000  6 Ga 2.77-2.82, 2 Nb 2.83, 4 V 3.08
Nb  0.1700  0.5000  0.6699  3 V 2.72-2.77, 8 Ga 2.81-3.03, 2 Nb 2.83-2.91
V  0.1520  0.5000  0.3227  4 Ga 2.56-2.62, 3 Nb 2.72-2.77
Ga  0.0419  0.0000  0.3735  3 V 2.56-2.62, 1 Ga 2.60, 1 Nb 2.82
Ga  0.1870  0.5000  0.0275  1 V 2.60, 2 Ga 2.66, 3 Nb 2.77-2.81

Computed properties:
Its energy of formation is -197.3 meV/atom.

Entry 6:
The following is a DFT calculation (PBE-GGA) of a geometry-optimized CuAgSe2O6 structure.

Cell: 5.2405 5.2405 17.0011 Å, 90.00 90.00 120.00°
With the nearest neighbours (Å) after each atom.
Space group R-3 (No. 148, hexagonal axes)
Asymmetric unit:
Cu  0.0000  0.0000  0.0000  6 O 2.06
Ag  0.0000  0.0000  0.5000  6 O 2.55
Se  0.0000  0.0000  0.2275  3 O 1.73
O  0.0055  0.6292  0.4043  1 Se 1.73

Computed properties:
As for the uncorrected formation energy: -4.896 eV/f.u.

Entry 7:
The following is a DFT calculation (PBE-GGA) of a geometry-optimized Li3Pr2Ni12Sn structure.

Cell: 5.9868 5.9868 26.6552 Å, 90.00 90.00 120.00°
With the nearest neighbours (Å) after each atom.
Space group R-3m (No. 166, hexagonal axes)
Asymmetric unit:
Li  0.0000  0.5000  0.0000  4 Ni 2.26
Pr  0.0000  0.0000  0.1374  12 Ni 2.85-3.18
Ni  0.0540  0.5270  0.9010  4 Ni 2.40-2.51, 1 Li 2.65
Ni  0.0751  0.5375  0.6238  2 Li 2.26, 4 Ni 2.32-2.40
Sn  0.0000  0.0000  0.5000  6 Ni 2.70

Computed properties:
Its energy of formation is 106.8 meV/atom.

Entry 8:
The following is a DFT calculation (PBE-GGA) of a geometry-optimized Ba3Mg2In structure.

Cell: 6.1253 18.3316 4.3327 Å, 90.00 90.00 90.00°
With the nearest neighbours (Å) after each atom.
Space group Cmmm (No. 65)
Asymmetric unit:
Ba  0.0000  0.0000  0.0000  4 In 3.75, 4 Mg 3.80
Ba  0.0000  0.3384  0.0000  2 In 3.67, 6 Mg 3.75-3.76
Mg  0.0000  0.1705  0.5000  8 Ba 3.75-3.80
In  0.0000  0.5000  0.5000  8 Ba 3.67-3.75

Computed properties:
Its energy of formation is -175.7 meV/atom.

| no. | final energy (eV for the cell shown) |
| --- | --- |
| 1 | -20.8 |
| 2 | -88.5 |
| 3 | -28.7 |
| 4 | -37.0 |
| 5 | -124.7 |
| 6 | -145.7 |
| 7 | -260.3 |
| 8 | -25.5 |